1.
CsTlO2 | GGA-PBE | optimized geometry

Cell: 6.717 6.717 5.792 Å, 54.56 54.56 90.00°
Positions (direct):
Cs  0.750  0.250  0.500
Cs  0.250  0.750  0.500
Tl  0.750  0.750  0.500
Tl  0.250  0.250  0.500
O  0.750  0.250  0.000
O  0.250  0.250  0.000
O  0.750  0.750  0.000
O  0.250  0.750  0.000

Results
**Calculated density**: 8.20 g cm⁻³
**ΔE_f (raw)**: -0.45 eV/f.u.
**Fermi-level density of states**: 4.96 states/eV/f.u.


2.
CsTlO2 | GGA-PBE | optimized geometry

Cell: 3.586 3.586 7.188 Å, 75.55 75.55 60.00°
Positions (direct):
Tl  0.667  0.667  0.998
O  0.059  0.059  0.823
O  0.277  0.277  0.169
Cs  0.497  0.497  0.510

Results
**Calculated density**: 8.00 g cm⁻³
**ΔE_f (raw)**: -3.55 eV/f.u.


3.
CsTlO2 | GGA-PBE | optimized geometry

Cell: 7.447 6.709 4.648 Å, 91.60 99.88 102.04°
Positions (direct):
O  0.327  0.596  0.372
O  0.326  0.665  0.067
O  0.762  0.584  0.819
O  0.890  0.677  0.621
Cs  0.594  0.363  0.239
Cs  0.058  0.898  0.201
Tl  0.559  0.829  0.734
Tl  0.093  0.432  0.705

Results
**Calculated density**: 5.49 g cm⁻³
**ΔE_f (raw)**: -2.86 eV/f.u.
**Fermi-level density of states**: 0.00 states/eV/f.u.


4.
CsTlO2 | GGA-PBE | optimized geometry

Cell: 5.201 7.839 6.498 Å, 122.33 87.52 110.01°
Positions (direct):
O  0.309  0.979  0.001
O  0.029  0.810  0.886
O  0.425  0.565  0.983
O  0.843  0.197  0.458
Cs  0.214  0.020  0.597
Cs  0.424  0.440  0.403
Tl  0.657  0.896  0.115
Tl  0.928  0.466  0.898

Results
**Calculated density**: 5.92 g cm⁻³
**ΔE_f (raw)**: -3.18 eV/f.u.
**Fermi-level density of states**: 0.00 states/eV/f.u.


5.
CsTlO2 | GGA-PBE | optimized geometry

Cell: 9.772 9.772 5.562 Å, 90.00 90.00 159.33°
Positions (direct):
O  0.795  0.205  0.750
O  0.205  0.795  0.250
O  0.885  0.115  0.250
O  0.115  0.885  0.750
Cs  0.928  0.072  0.750
Cs  0.072  0.928  0.250
Tl  0.689  0.311  0.750
Tl  0.311  0.689  0.250

Results
**Calculated density**: 6.54 g cm⁻³
**ΔE_f (raw)**: -2.59 eV/f.u.
**Fermi-level density of states**: 0.00 states/eV/f.u.


6.
CsTlO2 | GGA-PBE | optimized geometry

Cell: 3.809 3.809 7.298 Å, 90.00 90.00 120.00°
Positions (direct):
Tl  0.333  0.667  0.447
O  0.333  0.667  0.726
O  0.667  0.333  0.323
Cs  0.000  0.000  0.960

Results
**Calculated density**: 6.69 g cm⁻³
**ΔE_f (raw)**: -3.03 eV/f.u.
**Fermi-level density of states**: 4.82 states/eV/f.u.


7.
Cs3TlO4 | GGA-PBE | optimized geometry

Cell: 6.599 6.902 6.902 Å, 58.36 61.46 61.46°
Positions (direct):
Cs  0.753  0.837  0.657
Cs  0.247  0.343  0.163
Cs  0.000  0.096  0.904
O  0.386  0.248  0.752
O  0.698  0.445  0.161
O  0.302  0.839  0.555
O  0.614  0.248  0.752
Tl  0.500  0.594  0.406

Results
**Calculated density**: 4.94 g cm⁻³
**Energy above the most stable polymorph in this dataset**: 0 meV per atom
**ΔE_f (raw)**: -7.33 eV/f.u.


8.
Cs2TlO | GGA-PBE | optimized geometry

Cell: 8.172 8.172 8.172 Å, 96.61 96.61 140.33°
Positions (direct):
Tl  0.250  0.750  0.500
Tl  0.000  0.000  0.000
Cs  0.529  0.375  0.654
Cs  0.625  0.279  0.154
Cs  0.125  0.471  0.846
Cs  0.721  0.875  0.346
O  0.500  0.500  0.000
O  0.750  0.250  0.500

Results
**Calculated density**: 4.93 g cm⁻³
**Energy above the most stable polymorph in this dataset**: 111 meV per atom
**ΔE_f (raw)**: -1.76 eV/f.u.
**Fermi-level density of states**: 2.22 states/eV/f.u.


9.
Cs4Tl2O | GGA-PBE | optimized geometry

Cell: 9.998 9.998 9.998 Å, 77.11 77.11 77.11°
Positions (direct):
Cs  0.713  0.015  0.015
Cs  0.985  0.985  0.287
Cs  0.985  0.287  0.985
Cs  0.287  0.985  0.985
Cs  0.367  0.367  0.038
Cs  0.367  0.038  0.367
Cs  0.633  0.962  0.633
Cs  0.015  0.015  0.713
Cs  0.038  0.367  0.367
Cs  0.633  0.633  0.962
Cs  0.015  0.713  0.015
Cs  0.962  0.633  0.633
O  0.820  0.820  0.820
O  0.000  0.000  0.000
O  0.180  0.180  0.180
Tl  0.347  0.613  0.347
Tl  0.347  0.347  0.613
Tl  0.613  0.347  0.347
Tl  0.387  0.653  0.653
Tl  0.653  0.653  0.387
Tl  0.653  0.387  0.653

Results
**Calculated density**: 5.10 g cm⁻³
**Energy above the most stable polymorph in this dataset**: 0 meV per atom
**ΔE_f (raw)**: -3.43 eV/f.u.
**Fermi-level density of states**: 5.08 states/eV/f.u.


10.
Cs3TlO4 | GGA-PBE | optimized geometry

Cell: 7.156 7.156 7.156 Å, 76.84 131.41 124.48°
Positions (direct):
O  0.020  0.677  0.697
O  0.404  0.887  0.517
O  0.020  0.323  0.343
O  0.630  0.113  0.517
Tl  0.019  0.500  0.519
Cs  0.519  0.757  0.276
Cs  0.018  0.000  0.018
Cs  0.519  0.243  0.762

Results
**Calculated density**: 5.04 g cm⁻³
**Energy above the most stable polymorph in this dataset**: 36 meV per atom
**ΔE_f (raw)**: -7.04 eV/f.u.


11.
Cs5Tl2O5 | GGA-PBE | optimized geometry

Cell: 4.059 7.970 10.804 Å, 82.85 90.00 104.75°
Positions (direct):
Cs  0.630  0.261  0.017
Cs  0.272  0.544  0.672
Cs  0.728  0.456  0.328
Cs  0.500  0.000  0.500
Cs  0.370  0.739  0.983
O  0.602  0.205  0.741
O  0.897  0.794  0.719
O  0.398  0.795  0.259
O  0.000  0.000  0.000
O  0.103  0.206  0.281
Tl  0.027  0.054  0.781
Tl  0.973  0.946  0.219

Results
**Calculated density**: 5.71 g cm⁻³
**ΔE_f (raw)**: -11.52 eV/f.u.
**Fermi-level density of states**: 1.34 states/eV/f.u.


12.
CsTlO2 | GGA-PBE | optimized geometry

Cell: 6.612 6.612 6.306 Å, 58.38 58.38 90.00°
Positions (direct):
O  0.375  0.274  0.750
O  0.875  0.976  0.750
O  0.024  0.625  0.250
O  0.726  0.125  0.250
Tl  0.750  0.250  0.500
Tl  0.000  0.000  0.000
Cs  0.250  0.750  0.500
Cs  0.500  0.500  0.000

Results
**Calculated density**: 6.63 g cm⁻³
**ΔE_f (raw)**: -3.86 eV/f.u.
**Fermi-level density of states**: 0.00 states/eV/f.u.